# 1
Computed, not measured: an optimized crystal structure of Ba2ScAg at the PBE-GGA level of DFT.

a b c (Å): 4.3490 5.7733 11.4675
angles (deg): 90.00 90.00 90.00
Space group Immm (No. 71)
Unique sites:
Ba 0.0000 0.0000 0.2145 [4 per cell]
Sc 0.0000 0.5000 0.0000 [2 per cell]
Ag 0.0000 0.5000 0.5000 [2 per cell]

Output
Energy of formation   0.27 eV per atom
Energy relative to the lowest polymorph listed for this composition   227 meV per atom

=====

# 2
Computed, not measured: an optimized crystal structure of BaSc2Ag at the PBE-GGA level of DFT.

a b c (Å): 3.5680 3.5680 9.0806
angles (deg): 90.00 90.00 90.00
Space group P4/mmm (No. 123)
Unique sites:
Ba 0.0000 0.0000 0.0000 [1 per cell]
Sc 0.5000 0.5000 0.3274 [2 per cell]
Ag 0.0000 0.0000 0.5000 [1 per cell]

Output
Energy of formation   0.11 eV per atom
Energy relative to the lowest polymorph listed for this composition   75 meV per atom

=====

# 3
Computed, not measured: an optimized crystal structure of BaSc2Ag at the PBE-GGA level of DFT.

a b c (Å): 3.4266 3.4266 33.5668
angles (deg): 90.00 90.00 120.00
Space group R-3m (No. 166, hexagonal axes)
Unique sites:
Ba 0.0000 0.0000 0.0000 [3 per cell]
Sc 0.0000 0.0000 0.1025 [6 per cell]
Ag 0.0000 0.0000 0.5000 [3 per cell]

Output
Energy of formation   0.32 eV per atom
Energy relative to the lowest polymorph listed for this composition   287 meV per atom

=====

# 4
Computed, not measured: an optimized crystal structure of BaSc2Ag at the PBE-GGA level of DFT.

a b c (Å): 6.5587 11.8460 3.3668
angles (deg): 90.00 119.70 90.00
Space group C2/m (No. 12)
Unique sites:
Ba 0.0000 0.0000 0.0000 [2 per cell]
Sc 0.2500 0.2500 0.5000 [4 per cell]
Ag 0.0000 0.5000 0.0000 [2 per cell]

Output
Energy of formation   0.30 eV per atom
Energy relative to the lowest polymorph listed for this composition   265 meV per atom

=====

# 5
Computed, not measured: an optimized crystal structure of BaSc4Ag at the PBE-GGA level of DFT.

a b c (Å): 8.8046 8.8046 8.8046
angles (deg): 90.00 90.00 90.00
Space group F-43m (No. 216)
Unique sites:
Ba 0.0000 0.0000 0.0000 [4 per cell]
Sc 0.1232 0.1232 0.6232 [16 per cell]
Ag 0.2500 0.2500 0.2500 [4 per cell]

Output
Energy of formation   0.43 eV per atom

=====

# 6
Computed, not measured: an optimized crystal structure of BaSc2Ag at the PBE-GGA level of DFT.

a b c (Å): 6.9660 7.9876 3.8122
angles (deg): 90.00 90.00 90.00
Space group Cmmm (No. 65)
Unique sites:
Ba 0.0000 0.0000 0.0000 [2 per cell]
Sc 0.2500 0.2500 0.5000 [4 per cell]
Ag 0.0000 0.5000 0.0000 [2 per cell]

Output
Energy of formation   0.36 eV per atom
Energy relative to the lowest polymorph listed for this composition   326 meV per atom

=====

# 7
Computed, not measured: an optimized crystal structure of Ba2ScAg2 at the PBE-GGA level of DFT.

a b c (Å): 5.3260 5.3260 13.1185
angles (deg): 90.00 90.00 90.00
Space group I4/mmm (No. 139)
Unique sites:
Ba 0.0000 0.5000 0.2500 [4 per cell]
Sc 0.0000 0.0000 0.0000 [2 per cell]
Ag 0.0000 0.0000 0.4000 [4 per cell]

Output
Energy of formation   0.36 eV per atom
Energy relative to the lowest polymorph listed for this composition   387 meV per atom

=====

# 8
Computed, not measured: an optimized crystal structure of Ba2ScAg at the PBE-GGA level of DFT.

a b c (Å): 3.8610 3.8610 10.0016
angles (deg): 90.00 90.00 90.00
Space group P4mm (No. 99)
Unique sites:
Ba 0.0000 0.0000 0.0000 [1 per cell]
Ba 0.5000 0.5000 0.3711 [1 per cell]
Sc 0.0000 0.0000 0.6527 [1 per cell]
Ag 0.5000 0.5000 0.7655 [1 per cell]

Output
Energy of formation   0.04 eV per atom
Energy relative to the lowest polymorph listed for this composition   0 meV per atom

=====

# 9
Computed, not measured: an optimized crystal structure of Ba2ScAg at the PBE-GGA level of DFT.

a b c (Å): 3.9609 6.0278 12.5749
angles (deg): 90.00 90.00 90.00
Space group Imm2 (No. 44)
Unique sites:
Ba 0.0000 0.0000 0.0000 [2 per cell]
Ba 0.0000 0.5000 0.2004 [2 per cell]
Sc 0.0000 0.5000 0.8000 [2 per cell]
Ag 0.0000 0.0000 0.4628 [2 per cell]

Output
Energy of formation   0.10 eV per atom
Energy relative to the lowest polymorph listed for this composition   57 meV per atom

=====

# 10
Computed, not measured: an optimized crystal structure of BaSc2Ag at the PBE-GGA level of DFT.

a b c (Å): 4.5767 4.5767 11.0625
angles (deg): 90.00 90.00 90.00
Space group I4/mmm (No. 139)
Unique sites:
Ba 0.0000 0.0000 0.0000 [2 per cell]
Sc 0.0000 0.5000 0.2500 [4 per cell]
Ag 0.0000 0.0000 0.5000 [2 per cell]

Output
Energy of formation   0.33 eV per atom
Energy relative to the lowest polymorph listed for this composition   294 meV per atom

=====

# 11
Computed, not measured: an optimized crystal structure of BaSc2Ag at the PBE-GGA level of DFT.

a b c (Å): 3.5024 5.6566 11.7462
angles (deg): 90.00 90.00 90.00
Space group Immm (No. 71)
Unique sites:
Ba 0.0000 0.0000 0.0000 [2 per cell]
Sc 0.0000 0.5000 0.2082 [4 per cell]
Ag 0.0000 0.0000 0.5000 [2 per cell]

Output
Energy of formation   0.12 eV per atom
Energy relative to the lowest polymorph listed for this composition   84 meV per atom

=====

# 12
Computed, not measured: an optimized crystal structure of BaSc2Ag at the PBE-GGA level of DFT.

a b c (Å): 7.7013 7.7013 7.7013
angles (deg): 90.00 90.00 90.00
Space group F-43m (No. 216)
Unique sites:
Ba 0.0000 0.0000 0.0000 [4 per cell]
Sc 0.0000 0.0000 0.5000 [4 per cell]
Sc 0.2500 0.2500 0.2500 [4 per cell]
Ag 0.2500 0.2500 0.7500 [4 per cell]

Output
Energy of formation   0.34 eV per atom
Energy relative to the lowest polymorph listed for this composition   298 meV per atom

=====

# 13
Computed, not measured: an optimized crystal structure of Ba2ScAg at the PBE-GGA level of DFT.

a b c (Å): 8.4502 8.4502 8.4502
angles (deg): 90.00 90.00 90.00
Space group Fm-3m (No. 225)
Unique sites:
Ba 0.2500 0.2500 0.2500 [8 per cell]
Sc 0.0000 0.0000 0.0000 [4 per cell]
Ag 0.0000 0.0000 0.5000 [4 per cell]

Output
Energy of formation   0.29 eV per atom
Energy relative to the lowest polymorph listed for this composition   250 meV per atom

=====

# 14
Computed, not measured: an optimized crystal structure of BaScAgSe3 at the PBE-GGA level of DFT.

a b c (Å): 8.3500 4.1758 9.5556
angles (deg): 90.00 107.50 90.00
Space group P2_1/m (No. 11)
Unique sites:
Ba 0.2214 0.2500 0.2588 [2 per cell]
Sc 0.3198 0.7500 0.8459 [2 per cell]
Ag 0.0891 0.2500 0.5952 [2 per cell]
Se 0.1071 0.2500 0.8744 [2 per cell]
Se 0.2702 0.7500 0.5463 [2 per cell]
Se 0.4559 0.7500 0.1426 [2 per cell]

Output
Total energy   -5.03 eV/atom